Below is a relaxed Pm3Al2Ni9 crystal, with properties calculated at the PBE level.

The value obtained for the formation enthalpy at 0 K is -36 kJ per mole of atoms.

The space group is Immm (No. 71) and the conventional cell measures 3.9956, 9.1905 and 12.2641 Å, with angles of 90.00, 90.00 and 90.00 degrees. The distinct sites, in fractional coordinates, are Pm at (0.0000, 0.0000, 0.0000), Pm at (0.0000, 0.0000, 0.2977), Al at (0.0000, 0.2114, 0.5000), Ni at (0.0000, 0.2774, 0.1082), Ni at (0.0000, 0.3108, 0.3061) and Ni at (0.0000, 0.5000, 0.0000).